# 1
First-principles (PBE) data for crystalline NaAlCu2S4 at its relaxed geometry, as listed in Alexandria.

raw total energy: -4.318 eV/atom
magnetic moment: 0.0 μB per formula unit
volume: 19.9 Å³/atom
E_form (uncorrected): -0.598 eV/atom

a b c (Å): 5.937 5.937 9.052
angles (deg): 90.00 90.00 90.00
Space group I-42m (No. 121)
Inequivalent atoms, fractional coordinates:
1 Na 0.000 0.000 0.000 (multiplicity 2)
2 Al 0.000 0.000 0.500 (multiplicity 2)
3 Cu 0.000 0.500 0.250 (multiplicity 4)
4 S 0.218 0.218 0.355 (multiplicity 8)

***

# 2
First-principles (PBE) data for crystalline Y4Ge8Pd at its relaxed geometry, as listed in Alexandria.

raw total energy: -5.883 eV/atom
magnetic moment: 0.0 μB per formula unit
volume: 21.0 Å³/atom
calculated formation energy: -8.485 eV per formula unit

a b c (Å): 3.995 4.104 16.665
angles (deg): 90.00 90.00 90.00
Space group Pmm2 (No. 25)
Inequivalent atoms, fractional coordinates:
1 Y 0.000 0.000 0.000 (multiplicity 1)
2 Y 0.000 0.500 0.484 (multiplicity 1)
3 Y 0.500 0.000 0.790 (multiplicity 1)
4 Y 0.500 0.500 0.280 (multiplicity 1)
5 Ge 0.000 0.000 0.328 (multiplicity 1)
6 Ge 0.000 0.000 0.620 (multiplicity 1)
7 Ge 0.000 0.500 0.137 (multiplicity 1)
8 Ge 0.000 0.500 0.858 (multiplicity 1)
9 Ge 0.500 0.000 0.143 (multiplicity 1)
10 Ge 0.500 0.000 0.428 (multiplicity 1)
11 Ge 0.500 0.500 0.618 (multiplicity 1)
12 Ge 0.500 0.500 0.954 (multiplicity 1)
13 Pd 0.000 0.500 0.711 (multiplicity 1)

***

# 3
First-principles (PBE) data for crystalline LiHgRu2 at its relaxed geometry, as listed in Alexandria.

raw total energy: -4.799 eV/atom
magnetic moment: 0.8 μB per formula unit
volume: 16.1 Å³/atom
calculated formation energy: 1.572 eV per formula unit

a b c (Å): 2.886 4.754 9.403
angles (deg): 90.00 90.00 90.00
Space group Cmm2 (No. 35)
Inequivalent atoms, fractional coordinates:
1 Li 0.000 0.000 0.000 (multiplicity 2)
2 Hg 0.000 0.500 0.262 (multiplicity 2)
3 Ru 0.000 0.000 0.540 (multiplicity 2)
4 Ru 0.000 0.500 0.764 (multiplicity 2)

***

Q: Which of these has the lowest raw total energy?
A: Y4Ge8Pd

***

Q: Which value of magnetic moment does entry 1 give?
A: 0.0 μB per formula unit

***

Q: Among the records above, which one has the highest magnetic moment?
A: LiHgRu2